[1]
# Tl5Au4, relaxed, DFT PBE
data_Tl5Au4
_chemical_formula_sum 'Tl5 Au4'
_space_group_name_H-M_alt 'P 1'
_space_group_IT_number 1
_space_group_name_Hall 'P 1'
_cell_length_a 7.138
_cell_length_b 7.138
_cell_length_c 7.138
_cell_angle_alpha 96.92
_cell_angle_beta 96.92
_cell_angle_gamma 139.39
loop_
_atom_site_label
_atom_site_type_symbol
_atom_site_fract_x
_atom_site_fract_y
_atom_site_fract_z
Tl1 Tl 0.000 0.000 0.000
Tl2 Tl 0.325 0.325 0.651
Tl3 Tl 0.325 0.675 0.000
Tl4 Tl 0.675 0.325 0.000
Tl5 Tl 0.675 0.675 0.349
Au1 Au 0.000 0.351 0.351
Au2 Au 0.000 0.649 0.649
Au3 Au 0.351 0.000 0.351
Au4 Au 0.649 0.000 0.649
# Relative energy among the computed polymorphs = 87 meV/atom
# V = 222.0 Å³/cell
# Spin magnetization = 0.0 μB/f.u.
# DOS(E_F) = 0.36 states/eV/atom
# Crystal system = tetragonal
# Energy of formation from the pure elements = 0.59 eV per formula unit



[2]
# FeMoIrAu2, relaxed, DFT PBE
data_FeMoIrAu2
_chemical_formula_sum 'Fe1 Mo1 Ir1 Au2'
_space_group_name_H-M_alt 'P 1'
_space_group_IT_number 1
_space_group_name_Hall 'P 1'
_cell_length_a 5.019
_cell_length_b 5.019
_cell_length_c 4.669
_cell_angle_alpha 90.00
_cell_angle_beta 90.00
_cell_angle_gamma 90.00
loop_
_atom_site_label
_atom_site_type_symbol
_atom_site_fract_x
_atom_site_fract_y
_atom_site_fract_z
Fe1 Fe 0.000 0.000 0.000
Mo1 Mo 0.500 0.500 0.500
Ir1 Ir 0.500 0.500 0.000
Au1 Au 0.000 0.500 0.500
Au2 Au 0.500 0.000 0.500
# V = 117.6 Å³/cell
# Spin magnetization = 3.5 μB/f.u.
# DOS(E_F) = 1.76 states/eV/atom
# Crystal system = tetragonal
# Energy of formation from the pure elements = 8.22 eV per formula unit



[3]
# Rb2AgSnI5, relaxed, DFT PBE
data_Rb2AgSnI5
_chemical_formula_sum 'Rb4 Ag2 Sn2 I10'
_space_group_name_H-M_alt 'P 1'
_space_group_IT_number 1
_space_group_name_Hall 'P 1'
_cell_length_a 11.051
_cell_length_b 11.051
_cell_length_c 15.233
_cell_angle_alpha 90.00
_cell_angle_beta 90.00
_cell_angle_gamma 154.91
loop_
_atom_site_label
_atom_site_type_symbol
_atom_site_fract_x
_atom_site_fract_y
_atom_site_fract_z
Rb1 Rb 0.111 0.889 0.500
Rb2 Rb 0.125 0.875 0.131
Rb3 Rb 0.875 0.125 0.631
Rb4 Rb 0.889 0.111 0.000
Ag1 Ag 0.441 0.559 0.253
Ag2 Ag 0.559 0.441 0.753
Sn1 Sn 0.206 0.794 0.832
Sn2 Sn 0.794 0.206 0.332
I1 I 0.053 0.947 0.853
I2 I 0.287 0.713 0.475
I3 I 0.304 0.696 0.186
I4 I 0.350 0.650 0.818
I5 I 0.500 0.500 0.090
I6 I 0.500 0.500 0.590
I7 I 0.650 0.350 0.318
I8 I 0.696 0.304 0.686
I9 I 0.713 0.287 0.975
I10 I 0.947 0.053 0.353
# V = 788.7 Å³/cell
# Spin magnetization = 0.0 μB/f.u.
# VASP energy = -2.7360 eV per atom
# DOS(E_F) = 0.00 states/eV/atom
# Crystal system = orthorhombic



[4]
# BaTcRu, relaxed, DFT PBE
data_BaTcRu
_chemical_formula_sum 'Ba1 Tc1 Ru1'
_space_group_name_H-M_alt 'P 1'
_space_group_IT_number 1
_space_group_name_Hall 'P 1'
_cell_length_a 4.693
_cell_length_b 4.693
_cell_length_c 4.693
_cell_angle_alpha 60.00
_cell_angle_beta 60.00
_cell_angle_gamma 60.00
loop_
_atom_site_label
_atom_site_type_symbol
_atom_site_fract_x
_atom_site_fract_y
_atom_site_fract_z
Ba1 Ba 0.000 0.000 0.000
Tc1 Tc 0.750 0.750 0.750
Ru1 Ru 0.250 0.250 0.250
# Relative energy among the computed polymorphs = 1698 meV/atom
# V = 73.1 Å³/cell
# Spin magnetization = 3.0 μB/f.u.
# DOS(E_F) = 1.68 states/eV/atom
# Crystal system = cubic
# Energy of formation from the pure elements = 6.53 eV per formula unit



[5]
# Te4Mo3, relaxed, DFT PBE
data_Te4Mo3
_chemical_formula_sum 'Te4 Mo3'
_space_group_name_H-M_alt 'P 1'
_space_group_IT_number 1
_space_group_name_Hall 'P 1'
_cell_length_a 15.268
_cell_length_b 15.268
_cell_length_c 15.268
_cell_angle_alpha 167.67
_cell_angle_beta 167.67
_cell_angle_gamma 17.47
loop_
_atom_site_label
_atom_site_type_symbol
_atom_site_fract_x
_atom_site_fract_y
_atom_site_fract_z
Te1 Te 0.056 0.056 0.000
Te2 Te 0.330 0.330 0.000
Te3 Te 0.670 0.670 0.000
Te4 Te 0.944 0.944 0.000
Mo1 Mo 0.220 0.220 0.000
Mo2 Mo 0.500 0.500 0.000
Mo3 Mo 0.780 0.780 0.000
# Relative energy among the computed polymorphs = 296 meV/atom
# V = 162.3 Å³/cell
# Spin magnetization = 0.0 μB/f.u.
# DOS(E_F) = 0.77 states/eV/atom
# Crystal system = tetragonal



[6]
# RbPtN, relaxed, DFT PBE
data_RbPtN
_chemical_formula_sum 'Rb2 Pt2 N2'
_space_group_name_H-M_alt 'P 1'
_space_group_IT_number 1
_space_group_name_Hall 'P 1'
_cell_length_a 5.025
_cell_length_b 5.025
_cell_length_c 8.369
_cell_angle_alpha 107.79
_cell_angle_beta 107.79
_cell_angle_gamma 65.68
loop_
_atom_site_label
_atom_site_type_symbol
_atom_site_fract_x
_atom_site_fract_y
_atom_site_fract_z
Rb1 Rb 0.102 0.102 0.283
Rb2 Rb 0.898 0.898 0.717
Pt1 Pt 0.000 0.500 0.000
Pt2 Pt 0.500 0.000 0.000
N1 N 0.425 0.425 0.000
N2 N 0.575 0.575 0.000
# V = 179.4 Å³/cell
# Spin magnetization = 0.0 μB/f.u.
# VASP energy = -5.1094 eV per atom
# DOS(E_F) = 0.40 states/eV/atom
# Crystal system = monoclinic



[7]
# Nb3Ga4W, relaxed, DFT PBE
data_Nb3Ga4W
_chemical_formula_sum 'Nb6 Ga8 W2'
_space_group_name_H-M_alt 'P 1'
_space_group_IT_number 1
_space_group_name_Hall 'P 1'
_cell_length_a 4.939
_cell_length_b 5.499
_cell_length_c 10.396
_cell_angle_alpha 90.00
_cell_angle_beta 90.00
_cell_angle_gamma 90.00
loop_
_atom_site_label
_atom_site_type_symbol
_atom_site_fract_x
_atom_site_fract_y
_atom_site_fract_z
Nb1 Nb 0.250 0.002 0.199
Nb2 Nb 0.250 0.498 0.199
Nb3 Nb 0.250 0.750 0.693
Nb4 Nb 0.750 0.250 0.307
Nb5 Nb 0.750 0.502 0.801
Nb6 Nb 0.750 0.998 0.801
Ga1 Ga 0.250 0.000 0.935
Ga2 Ga 0.250 0.250 0.444
Ga3 Ga 0.250 0.500 0.935
Ga4 Ga 0.250 0.750 0.431
Ga5 Ga 0.750 0.000 0.065
Ga6 Ga 0.750 0.250 0.569
Ga7 Ga 0.750 0.500 0.065
Ga8 Ga 0.750 0.750 0.556
W1 W 0.250 0.250 0.704
W2 W 0.750 0.750 0.296
# V = 282.3 Å³/cell
# Spin magnetization = 0.0 μB/f.u.
# DOS(E_F) = 0.62 states/eV/atom
# Crystal system = orthorhombic
# Energy of formation from the pure elements = 0.80 eV per formula unit



[8]
# Li2Pm2HoSi2, relaxed, DFT PBE
data_Li2Pm2HoSi2
_chemical_formula_sum 'Li2 Pm2 Ho1 Si2'
_space_group_name_H-M_alt 'P 1'
_space_group_IT_number 1
_space_group_name_Hall 'P 1'
_cell_length_a 9.737
_cell_length_b 9.737
_cell_length_c 9.737
_cell_angle_alpha 26.15
_cell_angle_beta 26.15
_cell_angle_gamma 26.15
loop_
_atom_site_label
_atom_site_type_symbol
_atom_site_fract_x
_atom_site_fract_y
_atom_site_fract_z
Li1 Li 0.111 0.111 0.111
Li2 Li 0.889 0.889 0.889
Pm1 Pm 0.377 0.377 0.377
Pm2 Pm 0.623 0.623 0.623
Ho1 Ho 0.500 0.500 0.500
Si1 Si 0.229 0.229 0.229
Si2 Si 0.771 0.771 0.771
# V = 157.9 Å³/cell
# Spin magnetization = 0.0 μB/f.u.
# VASP energy = -4.5005 eV per atom
# DOS(E_F) = 0.59 states/eV/atom
# Crystal system = trigonal